# 1
FeNiOs2: relaxed, PBE.

Results
Formation energy from the elements = 74 kJ/mol of formula units
D(E_F) = 4.2 states/eV per cell
Space-group type = Cmmm (65)
VASP energy = -8.985 eV per atom
Total magnetic moment = 1.79 μB/cell
Excess energy over the best structure of this formula in the dataset = 87 meV/atom

Cell lengths 4.499, 4.499, 2.651 Å; angles 90.00, 90.00, 108.06 degrees
Last column: magnetic moment on the atom in μB.
Element x y z (fractional)
Os: 0.000 0.000 0.000  -0.03
Os: 0.500 0.500 0.000  -0.03
Fe: 0.500 0.000 0.500  1.81
Ni: 0.000 0.500 0.500  0.07

# 2
BaY: relaxed, PBE.

Results
Formation energy from the elements = 31 kJ/mol of formula units
D(E_F) = 5.4 states/eV per cell
Space-group type = P4/nmm (129)
VASP energy = -4.034 eV per atom
Total magnetic moment = 0.37 μB/cell
Excess energy over the best structure of this formula in the dataset = 0 meV/atom

Cell lengths 4.072, 4.072, 10.809 Å; angles 90.00, 90.00, 90.00 degrees
Last column: magnetic moment on the atom in μB.
Element x y z (fractional)
Y: 0.750 0.750 0.411  0.12
Ba: 0.750 0.750 0.841  -0.02
Ba: 0.250 0.250 0.159  -0.02
Y: 0.250 0.250 0.589  0.12

# 3
Mg2SbRh: relaxed, PBE.

Results
D(E_F) = 2.8 states/eV per cell
Space-group type = Pm (6)
VASP energy = -3.985 eV per atom
Total magnetic moment = 0.00 μB/cell
Raw formation energy = -0.32 eV/atom

Cell lengths 4.316, 3.340, 5.713 Å; angles 72.46, 90.00, 90.00 degrees
Element x y z (fractional)
Sb: 0.500 0.560 0.755
Mg: 0.500 0.290 0.301
Mg: 0.000 0.948 0.973
Rh: 0.000 0.702 0.471

# 4
SmDyPd4: relaxed, PBE.

Results
Formation energy from the elements = -337 kJ/mol of formula units
D(E_F) = 2.6 states/eV per cell
Space-group type = P4/mmm (123)
VASP energy = -5.598 eV per atom
Total magnetic moment = 0.00 μB/cell
Excess energy over the best structure of this formula in the dataset = 288 meV/atom

Cell lengths 3.946, 3.947, 8.588 Å; angles 89.98, 89.99, 90.00 degrees
Element x y z (fractional)
Pd: 0.001 0.498 0.253
Pd: 0.001 0.497 0.744
Pd: 0.501 0.997 0.744
Sm: 0.501 0.497 0.998
Dy: 0.001 0.997 0.498
Pd: 0.501 0.998 0.253

# 5
KInGe: relaxed, PBE.

Results
Formation energy from the elements = -10 kJ/mol of formula units
D(E_F) = 1.4 states/eV per cell
Space-group type = P1 (1)
VASP energy = -2.852 eV per atom
Total magnetic moment = 0.00 μB/cell

Cell lengths 6.699, 6.834, 4.625 Å; angles 108.54, 110.20, 88.56 degrees
Element x y z (fractional)
In: 0.384 0.109 0.176
K: 0.604 0.600 0.890
Ge: 0.813 0.282 0.313
K: 0.135 0.673 0.263
In: 0.823 0.013 0.707
Ge: 0.190 0.246 0.640

# 6
V6P2H: relaxed, PBE.

Results
D(E_F) = 12.3 states/eV per cell
Space-group type = P2_1/c (14)
VASP energy = -8.225 eV per atom
Total magnetic moment = 0.00 μB/cell

Cell lengths 4.788, 6.033, 7.376 Å; angles 90.00, 89.56, 90.00 degrees
Element x y z (fractional)
P: 0.935 0.383 0.748
V: 0.913 0.996 0.228
V: 0.361 0.816 0.052
V: 0.851 0.675 0.950
V: 0.351 0.825 0.450
P: 0.435 0.117 0.248
V: 0.587 0.496 0.272
P: 0.565 0.883 0.752
V: 0.413 0.504 0.728
H: 0.500 0.500 0.000
V: 0.639 0.184 0.948
H: 0.000 0.000 0.500
V: 0.149 0.325 0.050
V: 0.649 0.175 0.550
V: 0.861 0.684 0.552
V: 0.087 0.004 0.772
V: 0.139 0.316 0.448
P: 0.065 0.617 0.252

# 7
Eu2GeSb: relaxed, PBE.

Results
D(E_F) = 2.9 states/eV per cell
Space-group type = P4/mmm (123)
VASP energy = -8.023 eV per atom
Total magnetic moment = 13.87 μB/cell
Raw formation energy = -0.70 eV/atom
Excess energy over the best structure of this formula in the dataset = 0 meV/atom

Cell lengths 4.349, 5.055, 5.055 Å; angles 90.00, 90.00, 90.00 degrees
Last column: magnetic moment on the atom in μB.
Element x y z (fractional)
Eu: 0.000 0.500 0.000  6.82
Eu: 0.000 0.000 0.500  6.82
Ge: 0.500 0.000 0.000  -0.06
Sb: 0.500 0.500 0.500  -0.05

# 8
ZrCuSe2N: relaxed, PBE.

Results
D(E_F) = 3.1 states/eV per cell
Space-group type = P4/mmm (123)
VASP energy = -5.353 eV per atom
Total magnetic moment = 1.55 μB/cell
Raw formation energy = 0.23 eV/atom
Excess energy over the best structure of this formula in the dataset = 0 meV/atom

Cell lengths 5.287, 5.287, 4.135 Å; angles 90.00, 90.00, 90.00 degrees
Last column: magnetic moment on the atom in μB.
Element x y z (fractional)
Zr: 0.000 0.000 0.000  -0.06
Se: 0.500 0.000 0.000  0.18
Se: 0.000 0.500 0.000  0.18
Cu: 0.500 0.500 0.500  0.07
N: 0.000 0.000 0.500  0.70

# 9
Pr7GeS5: relaxed, PBE.

Results
D(E_F) = 15.5 states/eV per cell
Space-group type = C2/m (12)
VASP energy = -6.212 eV per atom
Total magnetic moment = 0.00 μB/cell
Raw formation energy = -1.70 eV/atom

Cell lengths 4.141, 7.043, 24.344 Å; angles 90.02, 90.00, 107.15 degrees
Element x y z (fractional)
Pr: 0.092 0.184 0.611
Pr: 0.466 0.931 0.250
Pr: 0.363 0.727 0.963
Pr: 0.186 0.371 0.178
S: 0.453 0.906 0.857
Pr: 0.815 0.630 0.822
Pr: 0.637 0.274 0.037
Pr: 0.535 0.070 0.750
Pr: 0.363 0.727 0.537
S: 0.548 0.095 0.143
S: 0.274 0.548 0.071
Pr: 0.908 0.816 0.389
Pr: 0.637 0.274 0.463
S: 0.000 0.000 0.500
Pr: 0.909 0.817 0.111
Ge: 0.196 0.393 0.750
S: 0.453 0.907 0.643
Ge: 0.804 0.609 0.250
S: 0.000 0.001 0.000
S: 0.727 0.454 0.929
S: 0.274 0.547 0.429
Pr: 0.815 0.630 0.678
S: 0.547 0.094 0.357
Pr: 0.185 0.371 0.322
Pr: 0.092 0.184 0.889
S: 0.727 0.454 0.571

# 10
LiBi3I: relaxed, PBE.

Results
D(E_F) = 6.9 states/eV per cell
Space-group type = Pm-3m (221)
VASP energy = -2.256 eV per atom
Total magnetic moment = 0.00 μB/cell
Raw formation energy = 0.77 eV/atom
Excess energy over the best structure of this formula in the dataset = 484 meV/atom

Cell lengths 6.008, 6.008, 6.008 Å; angles 90.00, 90.00, 90.00 degrees
Element x y z (fractional)
Bi: 0.000 0.000 0.500
Li: 0.500 0.500 0.500
Bi: 0.500 0.000 0.000
Bi: 0.000 0.500 0.000
I: 0.000 0.000 0.000

# 11
TlFe2As: relaxed, PBE.

Results
Formation energy from the elements = 111 kJ/mol of formula units
D(E_F) = 2.9 states/eV per cell
Space-group type = Cm (8)
VASP energy = -5.697 eV per atom
Total magnetic moment = 4.58 μB/cell
Excess energy over the best structure of this formula in the dataset = 92 meV/atom

Cell lengths 4.199, 4.199, 6.415 Å; angles 77.47, 77.47, 44.02 degrees
Last column: magnetic moment on the atom in μB.
Element x y z (fractional)
As: 0.261 0.261 0.127  -0.07
Fe: 0.734 0.734 0.836  2.33
Fe: 0.001 0.001 0.986  2.35
Tl: 0.505 0.505 0.551  -0.02

# 12
ScMo2Ir: relaxed, PBE.

Results
Formation energy from the elements = -29 kJ/mol of formula units
D(E_F) = 3.3 states/eV per cell
Space-group type = Cm (8)
VASP energy = -9.288 eV per atom
Total magnetic moment = 0.00 μB/cell
Excess energy over the best structure of this formula in the dataset = 187 meV/atom

Cell lengths 5.126, 5.126, 5.122 Å; angles 68.81, 68.81, 32.51 degrees
Element x y z (fractional)
Mo: 0.972 0.972 0.928
Ir: 0.263 0.263 0.346
Mo: 0.743 0.743 0.816
Sc: 0.523 0.523 0.410

- Which formula does entry 1 have?
  FeNiOs2

- What is the VASP energy in the tenth record?
  -2.256 eV per atom

- Which of these has the lowest D(E_F)?
  KInGe